# PBE La3Pd2Au3, optimized geometry
# density of states at the Fermi level = 15.567 states/eV per cell
# total moment = 0.0 μB per cell
# raw total energy = -0.19185 Ha/atom
data_La3Pd2Au3
_cell_length_a 4.220
_cell_length_b 10.717
_cell_length_c 17.250
_cell_angle_alpha 90.00
_cell_angle_beta 90.00
_cell_angle_gamma 90.00
_symmetry_space_group_name_H-M 'C m c m'
_symmetry_Int_Tables_number 63
_symmetry_space_group_name_Hall '-C 2c 2'
loop_
_atom_site_label
_atom_site_type_symbol
_atom_site_fract_x
_atom_site_fract_y
_atom_site_fract_z
_atom_site_occupancy
La1 La 0.000 0.074 0.101 1
La2 La 0.000 0.337 0.250 1
Pd1 Pd 0.000 0.220 0.622 1
Au1 Au 0.000 0.370 0.032 1
Au2 Au 0.000 0.384 0.750 1